Run 1
## Sr2TiCr (PBE)

Data for Sr2TiCr after structural relaxation.

Cell lengths 5.639, 5.639, 5.639 Å; angles 60.00, 60.00, 60.00 degrees
Element x y z (fractional)
Sr 0.250 0.250 0.250
Sr 0.750 0.750 0.750
Ti 0.000 0.000 0.000
Cr 0.500 0.500 0.500

## Properties
The total magnetization comes out at 0.27 μB/atom.

Run 2
## Sr2TiCr (PBE)

Data for Sr2TiCr after structural relaxation.

Cell lengths 8.862, 8.862, 7.072 Å; angles 51.20, 51.20, 90.00 degrees
Element x y z (fractional)
Cr 0.000 0.000 0.000
Cr 0.750 0.250 0.500
Sr 0.875 0.894 0.750
Sr 0.644 0.125 0.250
Sr 0.375 0.356 0.750
Sr 0.106 0.625 0.250
Ti 0.500 0.500 0.000
Ti 0.250 0.750 0.500

## Properties
The total magnetization comes out at 1.52 μB/atom.

Compare the structures above. Which one is the most stable? run 1 is.